This record from the Alexandria database describes a relaxed LaZr2Sb2 crystal. The functional is PBE.

Geometry as POSCAR:
```
LaZr2Sb2
1.0
-2.763 2.763 4.602
2.763 -2.763 4.602
2.763 2.763 -4.602
La Zr Sb
1 2 2
direct
0.000 0.000 0.000 La
0.349 0.349 0.000 Zr
0.651 0.651 0.000 Zr
0.250 0.750 0.500 Sb
0.750 0.250 0.500 Sb
```

The formation energy without anion corrections comes out at -0.4578 eV per atom. The calculated total energy is -32.56 eV per cell. As for the offset from the most stable computed form: 286 meV/atom.